## HfMgSi3 (PBE)

Data for crystalline HfMgSi3 at its relaxed geometry.

Output
For the energy relative to the elements, uncorrected, the calculation gives 0.66 eV/atom. The calculation puts the density of states at the Fermi level at 2.7 states/eV per cell. The value obtained for the final energy is -24.50 eV for the cell shown.

Lattice parameters (Å, degrees): 5.052 5.052 5.052 90.00 90.00 90.00
Element x y z (fractional)
Hf (0.000, 0.000, 0.000)
Mg (0.500, 0.500, 0.500)
Si (0.000, 0.000, 0.500)
Si (0.000, 0.500, 0.000)
Si (0.500, 0.000, 0.000)